A relaxed Na3Cr2InO6 crystal. Source: Alexandria, functional PBE with a Hubbard U.

a b c (Å): 5.415 9.381 5.728
angles (deg): 90.00 108.41 90.00
Space group C2/m (No. 12)
Inequivalent atoms, fractional coordinates:
Na  0.000  0.000  0.000 [2 per cell]
Na  0.000  0.332  0.000 [4 per cell]
Cr  0.000  0.167  0.500 [4 per cell]
In  0.000  0.500  0.500 [2 per cell]
O  0.216  0.000  0.704 [4 per cell]
O  0.244  0.324  0.702 [8 per cell]

Calculated values
Electronic total energy, eV per atom: -6.09